Zr3TlC, optimized geometry, DFT PBE; raw total energy = -7.71 eV/atom; magnetic moment = 0.000 μB per cell; calculated formation energy = -0.259 eV/atom
1.0
2.9259 1.6893 7.3603
-2.9259 1.6893 7.3603
0.0000 -3.3785 7.3603
Zr Tl C
6 2 2
Cartesian
-2.0082 -0.0201 9.8076
-0.9867 -1.7492 12.2732
1.0215 -1.7291 9.8076
-1.0215 1.7291 12.2732
0.9867 1.7492 9.8076
2.0082 0.0201 12.2732
0.0000 0.0000 7.4118
0.0000 0.0000 14.6690
0.0000 0.0000 3.6072
0.0000 0.0000 18.4737


Zr3TlC, optimized geometry, DFT PBE; raw total energy = -7.15 eV/atom; magnetic moment = 0.000 μB per cell; calculated formation energy = 0.300 eV/atom
1.0
-2.8581 2.8581 6.8893
2.8581 -2.8581 6.8893
2.8581 2.8581 -6.8893
Zr Tl C
6 2 2
Cartesian
0.0000 0.0000 2.7876
2.8581 1.3616 1.5226
1.3616 2.8581 -1.5226
1.4965 0.0000 5.3667
0.0000 0.0000 10.9910
0.0000 1.4965 8.4119
0.0000 2.8581 1.7294
0.0000 2.8581 5.1599
2.8581 0.0000 3.4447
0.0000 0.0000 6.8893


Zr3TlC, optimized geometry, DFT PBE; raw total energy = -7.30 eV/atom; magnetic moment = 0.000 μB per cell; calculated formation energy = 0.146 eV/atom
1.0
4.1141 2.3753 3.4977
-4.1141 2.3753 3.4977
0.0000 -4.7506 3.4977
Zr Tl C
6 2 2
Cartesian
-3.0585 -0.5469 4.3722
-1.0556 -2.9222 6.1210
2.0028 -2.3753 4.3722
-2.0029 2.3753 6.1210
1.0556 2.9222 4.3722
3.0585 0.5469 6.1210
0.0000 0.0000 0.0000
0.0000 0.0000 5.2466
0.0000 0.0000 2.6233
0.0000 0.0000 7.8699


Zr3TlC, optimized geometry, DFT PBE; raw total energy = -7.63 eV/atom; magnetic moment = 0.000 μB per cell; calculated formation energy = -0.188 eV/atom
1.0
7.8863 0.0000 0.0000
0.0000 3.3368 0.0000
0.0000 0.0000 7.6234
Zr Tl C
6 2 2
Cartesian
0.4006 0.0000 1.8889
1.9716 1.6684 4.1483
3.5426 0.0000 1.8889
4.3438 0.0000 5.7345
5.9148 1.6684 3.4752
7.4857 0.0000 5.7345
1.9716 1.6684 7.0855
5.9148 1.6684 0.5379
1.9716 1.6684 1.8961
5.9148 1.6684 5.7273


Zr3TlC, optimized geometry, DFT PBE; raw total energy = -7.79 eV/atom; magnetic moment = 0.000 μB per cell; calculated formation energy = -0.340 eV/atom
1.0
5.5799 0.0000 0.0000
0.0000 6.4541 0.0000
0.0000 0.0000 5.5616
Zr Tl C
6 2 2
Cartesian
1.3950 0.0000 1.0105
1.3950 1.5323 3.7723
1.3950 4.9219 3.7723
4.1850 0.0000 4.5511
4.1850 1.5323 1.7893
4.1850 4.9219 1.7893
1.3950 3.2271 1.0525
4.1850 3.2271 4.5091
0.0000 0.0000 2.7808
2.7900 0.0000 2.7808


Zr3TlC, optimized geometry, DFT PBE; raw total energy = -7.61 eV/atom; magnetic moment = 0.000 μB per cell; calculated formation energy = -0.158 eV/atom
1.0
0.0000 6.0864 6.0864
6.0864 0.0000 6.0864
6.0864 6.0864 0.0000
Zr Tl C
12 4 4
Cartesian
4.5648 4.5648 0.7715
4.5648 0.7715 4.5648
8.3581 4.5648 4.5648
7.6081 7.6081 3.8148
7.6081 3.8148 7.6081
11.4013 7.6081 7.6081
0.7715 4.5648 4.5648
4.5648 8.3581 4.5648
4.5648 4.5648 8.3581
3.8148 7.6081 7.6081
7.6081 11.4013 7.6081
7.6081 7.6081 11.4013
6.0864 3.0432 3.0432
3.0432 6.0864 3.0432
3.0432 3.0432 6.0864
6.0864 6.0864 6.0864
0.0000 0.0000 0.0000
3.0432 3.0432 0.0000
3.0432 0.0000 3.0432
0.0000 3.0432 3.0432